[1]
This record from the Alexandria database describes a relaxed CaSiPt crystal. The functional is PBE-GGA.

abc: 4.1375 4.1375 4.2644
angles: 90.00 90.00 120.00
Element x y z (fractional)
Ca: 0.0000 0.0000 0.0000
Si: 0.6667 0.3333 0.5000
Pt: 0.3333 0.6667 0.5000

Energy in eV/atom: -5.43
N(E_F) in states/eV/f.u.: 1.4
Calculated volume in Å³/cell: 63.2
E_form (uncorrected) in eV/atom: -0.94

***

[2]
This record from the Alexandria database describes a relaxed NaCeGa2I6 crystal. The functional is PBE-GGA.

abc: 8.0368 8.8108 14.0242
angles: 90.00 122.83 90.00
Element x y z (fractional)
Na: 0.0000 0.0000 0.0000
Na: 0.0000 0.5000 0.5000
Ce: 0.5000 0.0000 0.5000
Ce: 0.5000 0.5000 0.0000
Ga: 0.1816 0.1054 0.6933
Ga: 0.1816 0.3946 0.1933
Ga: 0.8184 0.6054 0.8067
Ga: 0.8184 0.8946 0.3067
I: 0.1208 0.1781 0.4508
I: 0.1208 0.3219 0.9508
I: 0.2381 0.7042 0.4152
I: 0.2381 0.7958 0.9152
I: 0.4010 0.0568 0.2528
I: 0.4010 0.4432 0.7528
I: 0.5990 0.5568 0.2472
I: 0.5990 0.9432 0.7472
I: 0.7619 0.2042 0.0848
I: 0.7619 0.2958 0.5848
I: 0.8792 0.6781 0.0492
I: 0.8792 0.8219 0.5492

Energy in eV/atom: -3.17
N(E_F) in states/eV/f.u.: 8.3
Calculated volume in Å³/cell: 834.5
E_form (uncorrected) in eV/atom: -0.91